1.
Entry from Alexandria: PrNd10Er4 after structural relaxation (PBE).

Crystal system ... tetragonal
Space group ... I4/m, No. 87
Raw total energy ... -63.01 eV per formula unit

Cell: 6.881 9.653 9.653 Å, 82.70 69.12 69.12°
Fractional positions:
Pr 0.000 0.000 0.000
Nd 0.250 0.500 0.500
Nd 0.629 0.415 0.840
Nd 0.957 0.160 0.415
Nd 0.532 0.840 0.585
Nd 0.883 0.585 0.160
Nd 0.371 0.585 0.160
Nd 0.750 0.500 0.500
Nd 0.117 0.415 0.840
Nd 0.468 0.160 0.415
Nd 0.043 0.840 0.585
Er 0.433 0.891 0.244
Er 0.676 0.756 0.891
Er 0.324 0.244 0.109
Er 0.567 0.109 0.756

2.
Entry from Alexandria: KLiRe2 after structural relaxation (PBE).

Crystal system ... trigonal
Space group ... R-3m, No. 166
Excess energy over the best structure of this formula in the dataset ... 358 meV per atom

Cell: 10.872 10.872 10.872 Å, 14.51 14.51 14.51°
Fractional positions:
K 0.750 0.750 0.750
Li 0.250 0.250 0.250
Re 0.990 0.990 0.990
Re 0.510 0.510 0.510

3.
Entry from Alexandria: SiNiAu2 after structural relaxation (PBE).

Crystal system ... tetragonal
Space group ... P4/mmm, No. 123
Formation energy without anion corrections ... 0.134 eV/atom

Cell: 3.384 3.384 5.451 Å, 90.00 90.00 90.03°
Fractional positions:
Au 0.000 0.000 0.002
Au 0.000 0.000 0.498
Ni 0.500 0.500 0.250
Si 0.500 0.500 0.750

4.
Entry from Alexandria: SrTb2ReN4 after structural relaxation (PBE).

Crystal system ... orthorhombic
Space group ... Cmcm, No. 63
Formation energy without anion corrections ... -0.955 eV/atom

Cell: 3.464 6.329 12.227 Å, 90.00 90.00 105.88°
Fractional positions:
Sr 0.065 0.129 0.750
Sr 0.935 0.871 0.250
Tb 0.371 0.743 0.541
Tb 0.629 0.257 0.041
Tb 0.629 0.257 0.459
Tb 0.371 0.743 0.959
Re 0.807 0.615 0.750
Re 0.193 0.385 0.250
N 0.260 0.519 0.112
N 0.740 0.481 0.612
N 0.740 0.481 0.888
N 0.260 0.519 0.388
N 0.000 0.000 0.500
N 0.000 0.000 0.000
N 0.398 0.795 0.750
N 0.602 0.205 0.250

5.
Entry from Alexandria: Li4Mg3Ga2 after structural relaxation (PBE).

Crystal system ... triclinic
Space group ... P-1, No. 2
Excess energy over the best structure of this formula in the dataset ... 13 meV per atom

Cell: 4.649 5.574 8.164 Å, 60.28 72.49 64.91°
Fractional positions:
Li 0.320 0.354 0.007
Li 0.876 0.615 0.639
Li 0.124 0.385 0.361
Li 0.680 0.646 0.993
Mg 0.562 0.205 0.674
Mg 0.000 0.000 0.000
Mg 0.438 0.795 0.326
Ga 0.767 0.147 0.312
Ga 0.233 0.853 0.688

6.
Entry from Alexandria: Sr2YTa after structural relaxation (PBE).

Crystal system ... cubic
Space group ... Fm-3m, No. 225
Excess energy over the best structure of this formula in the dataset ... 418 meV per atom

Cell: 5.738 5.738 5.738 Å, 60.00 60.00 60.00°
Fractional positions:
Y 0.000 0.000 0.000
Sr 0.250 0.250 0.250
Sr 0.750 0.750 0.750
Ta 0.500 0.500 0.500

7.
Entry from Alexandria: Ho3S2 after structural relaxation (PBE).

Crystal system ... trigonal
Space group ... R-3m, No. 166
Formation energy without anion corrections ... -1.566 eV/atom
Excess energy over the best structure of this formula in the dataset ... 0 meV per atom

Cell: 3.794 3.794 9.742 Å, 78.77 78.77 60.00°
Fractional positions:
Ho 0.000 0.000 0.000
Ho 0.784 0.784 0.648
Ho 0.216 0.216 0.352
S 0.391 0.391 0.828
S 0.609 0.609 0.172

8.
Entry from Alexandria: CsKTl3 after structural relaxation (PBE).

Crystal system ... cubic
Space group ... Pm-3m, No. 221
Excess energy over the best structure of this formula in the dataset ... 417 meV per atom

Cell: 6.425 6.425 6.425 Å, 90.00 90.00 90.00°
Fractional positions:
Cs 0.500 0.500 0.500
Tl 0.000 0.500 0.000
Tl 0.000 0.000 0.500
Tl 0.500 0.000 0.000
K 0.000 0.000 0.000

9.
Entry from Alexandria: LaRh2Pb after structural relaxation (PBE).

Crystal system ... tetragonal
Space group ... I-4m2, No. 119
Raw total energy ... -24.88 eV per formula unit

Cell: 5.814 5.814 5.814 Å, 138.97 138.97 59.42°
Fractional positions:
La 0.500 0.500 0.000
Rh 0.000 0.000 0.000
Rh 0.250 0.750 0.500
Pb 0.750 0.250 0.500

10.
Entry from Alexandria: ZnMoBr2 after structural relaxation (PBE).

Crystal system ... orthorhombic
Space group ... Cmm2, No. 35
Formation energy without anion corrections ... 0.199 eV/atom
Excess energy over the best structure of this formula in the dataset ... 222 meV per atom

Cell: 3.411 3.411 9.738 Å, 90.00 90.00 122.02°
Fractional positions:
Br 0.000 0.000 0.924
Br 0.500 0.500 0.320
Mo 0.000 0.000 0.518
Zn 0.500 0.500 0.738

11.
Entry from Alexandria: HgBCl2 after structural relaxation (PBE).

Crystal system ... cubic
Space group ... Fd-3m, No. 227
Formation energy without anion corrections ... 0.121 eV/atom
Excess energy over the best structure of this formula in the dataset ... 0 meV per atom

Cell: 6.674 6.674 6.675 Å, 60.01 60.01 90.00°
Fractional positions:
B 0.500 0.500 0.000
B 0.250 0.750 0.500
Hg 0.000 0.000 0.000
Hg 0.750 0.250 0.500
Cl 0.374 0.125 0.250
Cl 0.376 0.625 0.250
Cl 0.375 0.626 0.750
Cl 0.875 0.624 0.750

12.
Entry from Alexandria: RbAcSe after structural relaxation (PBE).

Crystal system ... trigonal
Space group ... P3m1, No. 156
Formation energy without anion corrections ... -0.923 eV/atom
Excess energy over the best structure of this formula in the dataset ... 18 meV per atom

Cell: 8.166 4.466 4.466 Å, 120.00 90.00 90.00°
Fractional positions:
Ac 0.236 0.333 0.667
Se 0.026 0.000 0.000
Rb 0.738 0.667 0.333

13.
Entry from Alexandria: CsNaSr2Ni after structural relaxation (PBE).

Crystal system ... tetragonal
Space group ... P4/mmm, No. 123
Raw total energy ... -10.40 eV per formula unit

Cell: 5.879 5.879 6.526 Å, 90.00 90.00 90.00°
Fractional positions:
Cs 0.500 0.500 0.500
Sr 0.000 0.500 0.000
Sr 0.500 0.000 0.000
Na 0.000 0.000 0.500
Ni 0.000 0.000 0.000

14.
Entry from Alexandria: Ho2Be4Si3Os after structural relaxation (PBE).

Crystal system ... tetragonal
Space group ... P-4m2, No. 115
Formation energy without anion corrections ... -0.425 eV/atom

Cell: 3.783 3.783 9.943 Å, 90.00 90.00 90.00°
Fractional positions:
Ho 0.500 0.000 0.246
Ho 0.000 0.500 0.754
Be 0.500 0.500 0.000
Be 0.000 0.000 0.000
Be 0.500 0.000 0.637
Be 0.000 0.500 0.363
Si 0.000 0.000 0.500
Si 0.500 0.000 0.868
Si 0.000 0.500 0.132
Os 0.500 0.500 0.500

15.
Entry from Alexandria: Pr2Dy2Rh15 after structural relaxation (PBE).

Crystal system ... trigonal
Space group ... R-3m, No. 166
Raw total energy ... -135.77 eV per formula unit

Cell: 6.957 6.957 6.957 Å, 82.53 82.53 82.53°
Fractional positions:
Pr 0.358 0.358 0.358
Pr 0.642 0.642 0.642
Dy 0.109 0.109 0.109
Dy 0.891 0.891 0.891
Rh 0.500 0.000 0.000
Rh 0.000 0.000 0.500
Rh 0.000 0.500 0.000
Rh 0.000 0.695 0.305
Rh 0.695 0.305 0.000
Rh 0.305 0.000 0.695
Rh 0.305 0.695 0.000
Rh 0.695 0.000 0.305
Rh 0.000 0.305 0.695
Rh 0.159 0.650 0.650
Rh 0.650 0.650 0.159
Rh 0.650 0.159 0.650
Rh 0.841 0.350 0.350
Rh 0.350 0.350 0.841
Rh 0.350 0.841 0.350

16.
Entry from Alexandria: CrHg2Pb after structural relaxation (PBE).

Crystal system ... tetragonal
Space group ... P4mm, No. 99
Raw total energy ... -12.65 eV per formula unit

Cell: 3.403 3.403 8.259 Å, 90.00 90.00 90.00°
Fractional positions:
Cr 0.500 0.500 0.770
Hg 0.000 0.000 0.968
Hg 0.500 0.500 0.231
Pb 0.000 0.000 0.531

17.
Entry from Alexandria: RbMn2Au after structural relaxation (PBE).

Crystal system ... tetragonal
Space group ... I4_1/amd, No. 141
Excess energy over the best structure of this formula in the dataset ... 0 meV per atom

Cell: 5.372 5.372 9.756 Å, 74.02 74.02 90.00°
Fractional positions:
Mn 0.875 0.125 0.250
Mn 0.875 0.625 0.250
Mn 0.375 0.125 0.750
Mn 0.875 0.125 0.750
Au 0.000 0.000 0.000
Au 0.750 0.250 0.500
Rb 0.500 0.500 0.000
Rb 0.250 0.750 0.500

18.
Entry from Alexandria: TiInHgBi2 after structural relaxation (PBE).

Crystal system ... tetragonal
Space group ... P4/mmm, No. 123
Raw total energy ... -17.90 eV per formula unit

Cell: 5.411 5.489 5.411 Å, 90.00 90.00 90.00°
Fractional positions:
In 0.500 0.500 0.500
Ti 0.000 0.000 0.000
Bi 0.000 0.000 0.500
Bi 0.500 0.000 0.000
Hg 0.000 0.500 0.000

19.
Entry from Alexandria: Ba2LiPdPb after structural relaxation (PBE).

Crystal system ... tetragonal
Space group ... P4/mmm, No. 123
Raw total energy ... -16.33 eV per formula unit

Cell: 6.233 6.233 4.720 Å, 90.00 90.00 90.00°
Fractional positions:
Pb 0.500 0.500 0.500
Ba 0.000 0.500 0.000
Ba 0.500 0.000 0.000
Pd 0.000 0.000 0.000
Li 0.000 0.000 0.500

20.
Entry from Alexandria: CsAsH2Pb after structural relaxation (PBE).

Crystal system ... tetragonal
Space group ... P4/mmm, No. 123
Raw total energy ... -10.68 eV per formula unit

Cell: 4.610 6.570 4.610 Å, 90.00 90.00 90.00°
Fractional positions:
Pb 0.500 0.500 0.500
Cs 0.000 0.500 0.000
As 0.000 0.000 0.000
H 0.000 0.000 0.500
H 0.500 0.000 0.000

| no. | DOS(E_F) (states/eV per cell) |
| --- | --- |
| 1 | 27.3 |
| 2 | 6.7 |
| 3 | 2.1 |
| 4 | 5.3 |
| 5 | 2.8 |
| 6 | 5.1 |
| 7 | 3.6 |
| 8 | 8.7 |
| 9 | 2.7 |
| 10 | 2.6 |
| 11 | 0.0 |
| 12 | 3.4 |
| 13 | 3.1 |
| 14 | 3.6 |
| 15 | 26.8 |
| 16 | 1.7 |
| 17 | 14.0 |
| 18 | 3.3 |
| 19 | 2.3 |
| 20 | 4.5 |